1.
Compound: SrLi3Pt
Source: Alexandria
Functional: meta-GGA SCAN
Structure: PBEsol geometry

Geometry as extended XYZ:
```
5
Lattice="4.8379 0.0000 0.0000 0.0000 4.8379 0.0000 0.0000 0.0000 4.8379" Properties=species:S:1:pos:R:3 pbc="T T T"
Sr 2.4190 2.4190 2.4190
Pt 0.0000 0.0000 0.0000
Li 0.0000 2.4190 0.0000
Li 0.0000 0.0000 2.4190
Li 2.4190 0.0000 0.0000
```

Results
The calculation puts the formation energy at -319.5 meV per atom. Its density of states at the Fermi level is 0.47 states/eV per atom. Its magnetization is 0.00 μB per cell.

***

2.
Compound: BaPtSeN2
Source: Alexandria
Functional: meta-GGA SCAN
Structure: PBEsol geometry

Geometry as extended XYZ:
```
5
Lattice="-1.4558 -1.7432 3.5435 -2.8051 -2.2019 -2.2356 3.4207 -3.8577 -0.4925" Properties=species:S:1:pos:R:3 pbc="T T T"
Se 1.7103 -1.9288 -0.2462
Ba -0.4201 -3.9014 0.4077
Pt 0.0000 0.0000 0.0000
N -1.4025 -1.1010 -1.1178
N -0.7279 -0.8716 1.7718
```

Results
For the uncorrected formation energy, the calculation gives 0.2939 eV per atom. As for the energy above the lowest structure with this stoichiometry: 0 meV/atom. Its density of states at the Fermi level is 0.26 states/eV per atom. Its magnetization is 2.99 μB per cell.

***

Copy entry 2 word for word.
Compound: BaPtSeN2
Source: Alexandria
Functional: meta-GGA SCAN
Structure: PBEsol geometry

Geometry as extended XYZ:
```
5
Lattice="-1.4558 -1.7432 3.5435 -2.8051 -2.2019 -2.2356 3.4207 -3.8577 -0.4925" Properties=species:S:1:pos:R:3 pbc="T T T"
Se 1.7103 -1.9288 -0.2462
Ba -0.4201 -3.9014 0.4077
Pt 0.0000 0.0000 0.0000
N -1.4025 -1.1010 -1.1178
N -0.7279 -0.8716 1.7718
```

Results
For the uncorrected formation energy, the calculation gives 0.2939 eV per atom. As for the energy above the lowest structure with this stoichiometry: 0 meV/atom. Its density of states at the Fermi level is 0.26 states/eV per atom. Its magnetization is 2.99 μB per cell.

***

Q: magnetization of number 2 (BaPtSeN2)?
A: 2.99 μB per cell

***

Q: Look up the magnetization of the first one.
A: 0.00 μB per cell

***

Q: Which of these has the highest magnetization?
A: BaPtSeN2